1.
SrLa2CoHg PBE-GGA relaxed; formation energy from the elements = -11.7 kJ/mol of atoms; DOS at the Fermi energy = 0.782 states/eV per atom
1.0
5.3219 0.0000 0.0000
0.0000 5.3219 0.0000
0.0000 0.0000 5.3874
Sr La Co Hg
1 2 1 1
Cartesian
0.0000 0.0000 0.0000
0.0000 2.6610 2.6937
2.6610 0.0000 2.6937
2.6610 2.6610 2.6937
2.6610 2.6610 0.0000

=====

2.
SrLaCoHg2 PBE-GGA relaxed; formation energy from the elements = -24.7 kJ/mol of atoms; DOS at the Fermi energy = 0.688 states/eV per atom
1.0
5.3395 0.0000 0.0000
0.0000 5.3395 0.0000
0.0000 0.0000 4.7913
Sr La Co Hg
1 1 1 2
Cartesian
0.0000 0.0000 0.0000
2.6697 2.6697 0.0000
2.6697 2.6697 2.3957
0.0000 2.6697 2.3957
2.6697 0.0000 2.3957